Here is a geometry-optimized UNbAu structure from OQMD. Energies are from PBE.

Summary:
Its symmetry is F-43m, No. 216. The value obtained for the total energy is -7.376 eV/atom. The calculation puts the energy above the lowest structure with this stoichiometry at 165.7 meV per atom. As for the energy of formation from the pure elements: 843 meV/atom.

a = 4.6233 Å, b = 4.6233 Å, c = 4.6233 Å
α = 60.00°, β = 60.00°, γ = 60.00°
Last column: nearest neighbours and their distance in Å.
Sites, in units of the cell vectors:
1 Nb 0.7500 0.7500 0.7500  4 U 2.83
2 Au 0.2500 0.2500 0.2500  4 U 2.83
3 U 0.0000 0.0000 0.0000  4 Nb 2.83, 4 Au 2.83

=====

Here is a geometry-optimized UNbAu structure from OQMD. Energies are from PBE.

Summary:
Its symmetry is F-43m, No. 216. The value obtained for the total energy is -7.542 eV/atom. The calculation puts the energy above the lowest structure with this stoichiometry at 0.0 meV per atom. As for the energy of formation from the pure elements: 677 meV/atom.

a = 4.5638 Å, b = 4.5638 Å, c = 4.5638 Å
α = 60.00°, β = 60.00°, γ = 60.00°
Last column: nearest neighbours and their distance in Å.
Sites, in units of the cell vectors:
1 Nb 0.0000 0.0000 0.0000  4 U 2.79, 4 Au 2.79
2 U 0.7500 0.7500 0.7500  4 Nb 2.79
3 Au 0.2500 0.2500 0.2500  4 Nb 2.79

=====

Here is a geometry-optimized NbW2Au structure from OQMD. Energies are from PBE.

Summary:
Its symmetry is F-43m, No. 216. The value obtained for the total energy is -9.488 eV/atom. As for the energy of formation from the pure elements: 332 meV/atom.

a = 4.5844 Å, b = 4.5844 Å, c = 4.5844 Å
α = 60.00°, β = 60.00°, γ = 60.00°
Last column: nearest neighbours and their distance in Å.
Sites, in units of the cell vectors:
1 W 0.0000 0.0000 0.0000  4 W 2.81, 4 Nb 2.81
2 W 0.2500 0.2500 0.2500  4 Au 2.81, 4 W 2.81
3 Au 0.5000 0.5000 0.5000  4 W 2.81, 4 Nb 2.81
4 Nb 0.7500 0.7500 0.7500  4 W 2.81, 4 Au 2.81

=====

Here is a geometry-optimized Nb2WAu structure from OQMD. Energies are from PBE.

Summary:
Its symmetry is F-43m, No. 216. The value obtained for the total energy is -8.833 eV/atom. As for the energy of formation from the pure elements: 271 meV/atom.

a = 4.6222 Å, b = 4.6222 Å, c = 4.6222 Å
α = 60.00°, β = 60.00°, γ = 60.00°
Last column: nearest neighbours and their distance in Å.
Sites, in units of the cell vectors:
1 W 0.7500 0.7500 0.7500  4 Au 2.83, 4 Nb 2.83
2 Au 0.5000 0.5000 0.5000  4 Nb 2.83, 4 W 2.83
3 Nb 0.2500 0.2500 0.2500  4 Au 2.83, 4 Nb 2.83
4 Nb 0.0000 0.0000 0.0000  4 W 2.83, 4 Nb 2.83

=====

Here is a geometry-optimized Y2NbAu structure from OQMD. Energies are from PBE.

Summary:
Its symmetry is F-43m, No. 216. The value obtained for the total energy is -6.422 eV/atom. As for the energy of formation from the pure elements: 150 meV/atom.

a = 5.0278 Å, b = 5.0278 Å, c = 5.0278 Å
α = 60.00°, β = 60.00°, γ = 60.00°
Last column: nearest neighbours and their distance in Å.
Sites, in units of the cell vectors:
1 Y 0.7500 0.7500 0.7500  4 Y 3.08, 4 Nb 3.08
2 Y 0.0000 0.0000 0.0000  4 Y 3.08, 4 Au 3.08
3 Au 0.2500 0.2500 0.2500  4 Nb 3.08, 4 Y 3.08
4 Nb 0.5000 0.5000 0.5000  4 Y 3.08, 4 Au 3.08

=====

Here is a geometry-optimized YNb2Au structure from OQMD. Energies are from PBE.

Summary:
Its symmetry is F-43m, No. 216. The value obtained for the total energy is -7.448 eV/atom. As for the energy of formation from the pure elements: 32 meV/atom.

a = 4.8311 Å, b = 4.8311 Å, c = 4.8311 Å
α = 60.00°, β = 60.00°, γ = 60.00°
Last column: nearest neighbours and their distance in Å.
Sites, in units of the cell vectors:
1 Nb 0.5000 0.5000 0.5000  4 Nb 2.96, 4 Au 2.96
2 Nb 0.7500 0.7500 0.7500  4 Nb 2.96, 4 Y 2.96
3 Y 0.0000 0.0000 0.0000  4 Au 2.96, 4 Nb 2.96
4 Au 0.2500 0.2500 0.2500  4 Y 2.96, 4 Nb 2.96

=====

Here is a geometry-optimized ZrNb2Au structure from OQMD. Energies are from PBE.

Summary:
Its symmetry is F-43m, No. 216. The value obtained for the total energy is -8.077 eV/atom. As for the energy of formation from the pure elements: -77 meV/atom.

a = 4.7393 Å, b = 4.7393 Å, c = 4.7393 Å
α = 60.00°, β = 60.00°, γ = 60.00°
Last column: nearest neighbours and their distance in Å.
Sites, in units of the cell vectors:
1 Au 0.5000 0.5000 0.5000  4 Nb 2.90, 4 Zr 2.90
2 Zr 0.7500 0.7500 0.7500  4 Au 2.90, 4 Nb 2.90
3 Nb 0.2500 0.2500 0.2500  4 Au 2.90, 4 Nb 2.90
4 Nb 0.0000 0.0000 0.0000  4 Zr 2.90, 4 Nb 2.90

=====

Here is a geometry-optimized NdAu structure from OQMD. Energies are from PBE.

Summary:
Its symmetry is P-6m2, No. 187. The value obtained for the total energy is -4.551 eV/atom. As for the energy of formation from the pure elements: -536 meV/atom.

a = 3.6266 Å, b = 3.6266 Å, c = 4.4897 Å
α = 90.00°, β = 90.00°, γ = 120.00°
Last column: nearest neighbours and their distance in Å.
Sites, in units of the cell vectors:
1 Au 0.6667 0.3333 0.7500  6 Nd 3.07
2 Nd 0.3333 0.6667 0.2500  6 Au 3.07

=====

Here is a geometry-optimized NdAu structure from OQMD. Energies are from PBE.

Summary:
Its symmetry is Cmcm, No. 63. The value obtained for the total energy is -4.827 eV/atom. As for the energy of formation from the pure elements: -812 meV/atom.

a = 4.7914 Å, b = 5.9761 Å, c = 5.9761 Å
α = 37.84°, β = 90.00°, γ = 90.00°
Last column: nearest neighbours and their distance in Å.
Sites, in units of the cell vectors:
1 Nd 0.0000 0.6376 0.6376  7 Au 3.11-3.20
2 Nd 0.5000 0.3625 0.3625  7 Au 3.11-3.20
3 Au 0.5000 0.0873 0.0873  2 Au 3.10, 7 Nd 3.11-3.20
4 Au 0.0000 0.9126 0.9126  2 Au 3.10, 7 Nd 3.11-3.20

=====

Here is a geometry-optimized NdAu structure from OQMD. Energies are from PBE.

Summary:
Its symmetry is Pm-3m, No. 221. The value obtained for the total energy is -4.782 eV/atom. As for the energy of formation from the pure elements: -767 meV/atom.

a = 3.6947 Å, b = 3.6947 Å, c = 3.6947 Å
α = 90.00°, β = 90.00°, γ = 90.00°
Last column: nearest neighbours and their distance in Å.
Sites, in units of the cell vectors:
1 Au 0.0000 0.0000 0.0000  8 Nd 3.20
2 Nd 0.5000 0.5000 0.5000  8 Au 3.20

=====

Here is a geometry-optimized Nd3Au4 structure from OQMD. Energies are from PBE.

Summary:
Its symmetry is R-3, No. 148. The value obtained for the total energy is -4.718 eV/atom. As for the energy of formation from the pure elements: -810 meV/atom.

a = 6.1606 Å, b = 8.2489 Å, c = 8.2489 Å
α = 114.02°, β = 104.42°, γ = 104.42°
Last column: nearest neighbours and their distance in Å.
Sites, in units of the cell vectors:
1 Nd 0.7280 0.1269 0.7430  8 Au 2.98-3.29
2 Nd 0.2720 0.8731 0.2570  8 Au 2.98-3.29
3 Nd 0.6010 0.6161 0.8731  8 Au 2.98-3.29
4 Nd 0.3990 0.3839 0.1269  8 Au 2.98-3.29
5 Nd 0.9849 0.2570 0.3839  8 Au 2.98-3.29
6 Nd 0.0151 0.7430 0.6161  8 Au 2.98-3.29
7 Au 0.5611 0.3295 0.4903  6 Nd 2.98-3.29, 3 Au 3.04-3.17
8 Au 0.7683 0.8391 0.3295  6 Nd 2.98-3.29, 3 Au 3.04-3.17
9 Au 0.0708 0.5097 0.8391  6 Nd 2.98-3.29, 3 Au 3.04-3.17
10 Au 0.9292 0.4903 0.1609  6 Nd 2.98-3.29, 3 Au 3.04-3.17
11 Au 0.2317 0.1609 0.6705  6 Nd 2.98-3.29, 3 Au 3.04-3.17
12 Au 0.4389 0.6705 0.5097  6 Nd 2.98-3.29, 3 Au 3.04-3.17
13 Au 0.0000 0.0000 0.0000  6 Nd 3.05, 2 Au 3.08
14 Au 0.5000 0.0000 0.0000  2 Au 3.08, 6 Nd 3.18

=====

Here is a geometry-optimized NdAu structure from OQMD. Energies are from PBE.

Summary:
Its symmetry is F-43m, No. 216. The value obtained for the total energy is -4.238 eV/atom. As for the energy of formation from the pure elements: -223 meV/atom.

a = 4.7058 Å, b = 4.7058 Å, c = 4.7058 Å
α = 60.00°, β = 60.00°, γ = 60.00°
Last column: nearest neighbours and their distance in Å.
Sites, in units of the cell vectors:
1 Nd 0.2500 0.2500 0.2500  4 Au 2.88
2 Au 0.0000 0.0000 0.0000  4 Nd 2.88

=====

Here is a geometry-optimized NdAu6 structure from OQMD. Energies are from PBE.

Summary:
Its symmetry is C2/c, No. 15. The value obtained for the total energy is -3.901 eV/atom. The calculation puts the energy above the lowest structure with this stoichiometry at 0.0 meV per atom. As for the energy of formation from the pure elements: -421 meV/atom.

a = 5.5527 Å, b = 5.5527 Å, c = 9.1914 Å
α = 97.32°, β = 97.32°, γ = 89.85°
Last column: nearest neighbours and their distance in Å.
Sites, in units of the cell vectors:
1 Au 0.8436 0.9581 0.3636  8 Au 2.77-3.00
2 Au 0.7790 0.6153 0.0811  6 Au 2.78-3.00
3 Au 0.1564 0.0419 0.6364  8 Au 2.77-3.00
4 Au 0.8349 0.4590 0.3726  8 Au 2.77-2.93
5 Au 0.4590 0.8349 0.8726  8 Au 2.77-2.93
6 Au 0.5410 0.1651 0.1274  8 Au 2.77-2.93
7 Au 0.9581 0.8436 0.8636  8 Au 2.77-3.00
8 Au 0.3847 0.2210 0.4189  6 Au 2.78-3.00
9 Au 0.0419 0.1564 0.1364  8 Au 2.77-3.00
10 Au 0.2210 0.3847 0.9189  6 Au 2.78-3.00
11 Au 0.6153 0.7790 0.5811  6 Au 2.78-3.00
12 Au 0.1651 0.5410 0.6274  8 Au 2.77-2.93
13 Nd 0.6857 0.3143 0.7500  14 Au 3.17-3.33
14 Nd 0.3143 0.6857 0.2500  14 Au 3.17-3.33

=====

Here is a geometry-optimized Nd3Au2 structure from OQMD. Energies are from PBE.

Summary:
Its symmetry is R-3, No. 148. The value obtained for the total energy is -4.784 eV/atom. As for the energy of formation from the pure elements: -619 meV/atom.

a = 7.9136 Å, b = 7.9136 Å, c = 7.9136 Å
α = 70.84°, β = 70.84°, γ = 70.84°
Last column: nearest neighbours and their distance in Å.
Sites, in units of the cell vectors:
1 Nd 0.2020 0.2020 0.2020  6 Au 3.01-3.28
2 Nd 0.3412 0.8297 0.5967  5 Au 3.06-3.34
3 Nd 0.7980 0.7980 0.7980  6 Au 3.01-3.28
4 Nd 0.0000 0.0000 0.0000  6 Au 3.16
5 Nd 0.4033 0.6588 0.1703  5 Au 3.06-3.34
6 Nd 0.6588 0.1703 0.4033  5 Au 3.06-3.34
7 Nd 0.8297 0.5967 0.3412  5 Au 3.06-3.34
8 Nd 0.5967 0.3412 0.8297  5 Au 3.06-3.34
9 Nd 0.1703 0.4033 0.6588  5 Au 3.06-3.34
10 Au 0.9605 0.1653 0.5886  8 Nd 3.01-3.34, 1 Au 3.16
11 Au 0.1653 0.5886 0.9605  8 Nd 3.01-3.34, 1 Au 3.16
12 Au 0.5886 0.9605 0.1653  8 Nd 3.01-3.34, 1 Au 3.16
13 Au 0.0395 0.8347 0.4114  8 Nd 3.01-3.34, 1 Au 3.16
14 Au 0.8347 0.4114 0.0395  8 Nd 3.01-3.34, 1 Au 3.16
15 Au 0.4114 0.0395 0.8347  8 Nd 3.01-3.34, 1 Au 3.16

=====

Here is a geometry-optimized NdAu2 structure from OQMD. Energies are from PBE.

Summary:
Its symmetry is Fd-3m, No. 227. The value obtained for the total energy is -4.284 eV/atom. As for the energy of formation from the pure elements: -518 meV/atom.

a = 5.7015 Å, b = 5.7015 Å, c = 5.7015 Å
α = 60.00°, β = 60.00°, γ = 60.00°
Last column: nearest neighbours and their distance in Å.
Sites, in units of the cell vectors:
1 Nd 0.2500 0.2500 0.2500  12 Au 3.34, 4 Nd 3.49
2 Nd 0.0000 0.0000 0.0000  12 Au 3.34, 4 Nd 3.49
3 Au 0.6250 0.6250 0.6250  6 Au 2.85
4 Au 0.6250 0.6250 0.1250  6 Au 2.85
5 Au 0.6250 0.1250 0.6250  6 Au 2.85
6 Au 0.1250 0.6250 0.6250  6 Au 2.85

=====

Here is a geometry-optimized NdSi2NiAu structure from OQMD. Energies are from PBE.

Summary:
Its symmetry is I-4m2, No. 119. The value obtained for the total energy is -5.574 eV/atom.

a = 5.8292 Å, b = 5.8292 Å, c = 5.8292 Å
α = 138.07°, β = 138.07°, γ = 60.79°
Last column: nearest neighbours and their distance in Å.
Sites, in units of the cell vectors:
1 Nd 0.0000 0.0000 0.0000  8 Si 3.18, 4 Ni 3.27, 4 Au 3.27
2 Si 0.6184 0.6184 0.0000  1 Si 2.38, 2 Ni 2.47, 2 Au 2.47
3 Si 0.3816 0.3816 0.0000  1 Si 2.38, 2 Ni 2.47, 2 Au 2.47
4 Ni 0.7500 0.2500 0.5000  4 Si 2.47
5 Au 0.2500 0.7500 0.5000  4 Si 2.47

=====

Here is a geometry-optimized NdNiSn2Au structure from OQMD. Energies are from PBE.

Summary:
Its symmetry is P4/nmm, No. 129. The value obtained for the total energy is -4.912 eV/atom.

a = 4.5785 Å, b = 4.5785 Å, c = 10.4561 Å
α = 90.00°, β = 90.00°, γ = 90.00°
Last column: nearest neighbours and their distance in Å.
Sites, in units of the cell vectors:
1 Sn 0.0000 0.0000 0.5000  4 Ni 2.57
2 Sn 0.5000 0.5000 0.5000  4 Ni 2.57
3 Sn 0.5000 0.0000 0.1532  1 Ni 2.47
4 Sn 0.0000 0.5000 0.8468  1 Ni 2.47
5 Ni 0.0000 0.5000 0.6107  5 Sn 2.47-2.57
6 Ni 0.5000 0.0000 0.3893  5 Sn 2.47-2.57
7 Au 0.0000 0.0000 0.0000  4 Sn 2.79
8 Au 0.5000 0.5000 0.0000  4 Sn 2.79
9 Nd 0.5000 0.0000 0.7462  8 Sn 3.40-3.44, 4 Au 3.51, 5 Ni 3.53-3.73
10 Nd 0.0000 0.5000 0.2538  8 Sn 3.40-3.44, 4 Au 3.51, 5 Ni 3.53-3.73

=====

Here is a geometry-optimized NdAu2O4 structure from OQMD. Energies are from PBE.

Summary:
Its symmetry is C2/c, No. 15. The value obtained for the total energy is -5.708 eV/atom.

a = 6.6545 Å, b = 6.6545 Å, c = 6.0491 Å
α = 116.02°, β = 116.02°, γ = 100.97°
Last column: nearest neighbours and their distance in Å.
Sites, in units of the cell vectors:
1 Au 0.0000 0.5000 0.5000  4 O 2.04-2.05
2 Au 0.5000 0.5000 0.5000  4 O 2.17-2.18
3 Au 0.5000 0.5000 0.0000  4 O 2.17-2.18
4 Au 0.5000 0.0000 0.0000  4 O 2.04-2.05
5 Nd 0.8757 0.1243 0.7500  8 O 2.46-2.50
6 Nd 0.1243 0.8757 0.2500  8 O 2.46-2.50
7 O 0.1143 0.2598 0.5810  2 Au 2.05-2.18
8 O 0.8857 0.7402 0.4190  2 Au 2.05-2.18
9 O 0.2598 0.1143 0.0810  2 Au 2.05-2.18
10 O 0.5158 0.1514 0.7757  2 Au 2.04-2.17
11 O 0.7402 0.8857 0.9190  2 Au 2.05-2.18
12 O 0.4842 0.8486 0.2243  2 Au 2.04-2.17
13 O 0.8486 0.4842 0.7243  2 Au 2.04-2.17
14 O 0.1514 0.5158 0.2757  2 Au 2.04-2.17

=====

Here is a geometry-optimized NdPbAuO3 structure from OQMD. Energies are from PBE.

Summary:
Its symmetry is Cmcm, No. 63. The value obtained for the total energy is -6.156 eV/atom.

a = 6.6790 Å, b = 6.6790 Å, c = 8.6901 Å
α = 90.00°, β = 90.00°, γ = 33.29°
Last column: nearest neighbours and their distance in Å.
Sites, in units of the cell vectors:
1 O 0.6157 0.6157 0.9843  1 Au 2.04
2 O 0.3843 0.3843 0.0157  1 Au 2.04
3 O 0.3843 0.3843 0.4843  1 Au 2.04
4 O 0.9231 0.9231 0.7500  2 Pb 2.36, 2 Nd 2.38
5 O 0.6157 0.6157 0.5157  1 Au 2.04
6 O 0.0769 0.0769 0.2500  2 Pb 2.36, 2 Nd 2.38
7 Au 0.3719 0.3719 0.2500  2 O 2.04
8 Au 0.6281 0.6281 0.7500  2 O 2.04
9 Nd 0.0000 0.0000 0.5000  6 O 2.38-2.42
10 Nd 0.0000 0.0000 0.0000  6 O 2.38-2.42
11 Pb 0.3150 0.3150 0.7500  4 O 2.36-2.47
12 Pb 0.6850 0.6850 0.2500  4 O 2.36-2.47

=====

Here is a geometry-optimized PrNdAu2O4 structure from OQMD. Energies are from PBE.

Summary:
Its symmetry is P-3m1, No. 164. The value obtained for the total energy is -6.595 eV/atom.

a = 3.7765 Å, b = 3.7765 Å, c = 12.0544 Å
α = 90.00°, β = 90.00°, γ = 120.00°
Last column: nearest neighbours and their distance in Å.
Sites, in units of the cell vectors:
1 O 0.6667 0.3333 0.5809  1 Au 2.02
2 O 0.3333 0.6667 0.0831  1 Au 2.03
3 O 0.3333 0.6667 0.4191  1 Au 2.02
4 O 0.6667 0.3333 0.9169  1 Au 2.03
5 Nd 0.0000 0.0000 0.5000  6 O 2.39
6 Au 0.3333 0.6667 0.2511  2 O 2.02-2.03
7 Au 0.6667 0.3333 0.7489  2 O 2.02-2.03
8 Pr 0.0000 0.0000 0.0000  6 O 2.40